Record 1
First-principles (PBE-GGA) data for crystalline Dy2Ta at its relaxed geometry, as listed in OQMD.

For the total magnetization, the calculation gives 1.82 μB/f.u. The offset from the most stable computed form comes out at 1497.0 meV/atom. The formation energy is 2488 meV/atom. Its uncorrected energy is -4.53 eV/atom. The density is 3.70 g/cm³.

It has space group Fd-3m (No. 227, origin choice 2), with a = 12.204 Å, b = 12.204 Å, c = 12.204 Å, α = 90.00°, β = 90.00° and γ = 90.00°. The asymmetric unit holds Dy at (0.000, 0.000, 0.000) and Ta at (0.125, 0.125, 0.125).

Record 2
First-principles (PBE-GGA) data for crystalline LaPrAl2Ni4 at its relaxed geometry, as listed in OQMD.

For the total magnetization, the calculation gives 0.00 μB/f.u. Its uncorrected energy is -5.45 eV/atom. The density is 6.58 g/cm³.

It has space group P-6m2 (No. 187), with a = 4.2089 Å, b = 4.2089 Å, c = 9.3496 Å, α = 90.00°, β = 90.00° and γ = 120.00°. The asymmetric unit holds La at (0.0000, 0.0000, 0.0000), Pr at (0.3333, 0.6667, 0.5000), Al at (0.6667, 0.3333, 0.2537), Ni at (0.0000, 0.0000, 0.3018) and Ni at (0.3333, 0.6667, 0.1964).

Record 3
First-principles (PBE-GGA) data for crystalline HfCdInCo at its relaxed geometry, as listed in OQMD.

For the total magnetization, the calculation gives 0.38 μB/f.u. The offset from the most stable computed form comes out at 146.1 meV/atom. Its uncorrected energy is -4.97 eV/atom. The density is 10.68 g/cm³.

It has space group F-43m (No. 216), with a = 6.610 Å, b = 6.610 Å, c = 6.610 Å, α = 90.00°, β = 90.00° and γ = 90.00°. The asymmetric unit holds Hf at (0.000, 0.000, 0.000), Cd at (0.250, 0.250, 0.750), In at (0.250, 0.250, 0.250) and Co at (0.000, 0.000, 0.500).

Record 4
First-principles (PBE-GGA) data for crystalline TaPPdO at its relaxed geometry, as listed in OQMD.

For the total magnetization, the calculation gives 0.00 μB/f.u. The offset from the most stable computed form comes out at 0.0 meV/atom. Its uncorrected energy is -7.83 eV/atom. The density is 10.69 g/cm³.

It has space group P4/nmm (No. 129, origin choice 2), with a = 3.586 Å, b = 3.586 Å, c = 8.077 Å, α = 90.00°, β = 90.00° and γ = 90.00°. The asymmetric unit holds Ta at (0.250, 0.250, 0.161), P at (0.250, 0.250, 0.714), Pd at (0.250, 0.750, 0.500) and O at (0.250, 0.750, 0.000).

Record 5
First-principles (PBE-GGA) data for crystalline Te4IrBr at its relaxed geometry, as listed in OQMD.

For the total magnetization, the calculation gives 0.00 μB/f.u. Its uncorrected energy is -3.91 eV/atom. The density is 6.55 g/cm³.

It has space group P-1 (No. 2), with a = 7.359 Å, b = 7.871 Å, c = 8.151 Å, α = 114.27°, β = 106.12° and γ = 97.52°. The asymmetric unit holds Te at (0.017, 0.415, 0.225), Te at (0.136, 0.806, 0.169), Te at (0.395, 0.382, 0.746), Te at (0.415, 0.241, 0.149), Ir at (0.227, 0.462, 0.011) and Br at (0.234, 0.899, 0.590).

Record 6
First-principles (PBE-GGA) data for crystalline GdErTmScTl2 at its relaxed geometry, as listed in OQMD.

For the total magnetization, the calculation gives 1.14 μB/f.u. Its uncorrected energy is -4.38 eV/atom. The density is 9.89 g/cm³.

It has space group P3m1 (No. 156), with a = 5.2606 Å, b = 5.2606 Å, c = 6.6369 Å, α = 90.00°, β = 90.00° and γ = 120.00°. The asymmetric unit holds Gd at (0.0000, 0.0000, 0.0000), Er at (0.0000, 0.0000, 0.5140), Tm at (0.6667, 0.3333, 0.2601), Sc at (0.3333, 0.6667, 0.7537), Tl at (0.3333, 0.6667, 0.2590) and Tl at (0.6667, 0.3333, 0.7557).